(1)
## HoAlGa2Au5 (PBE-GGA)

Data for crystalline HoAlGa2Au5 at its relaxed geometry.

uncorrected energy: -3.67 eV per atom
crystal system: orthorhombic
volume: 192.5 Å³/f.u.

Lattice parameters (Å, degrees): 4.762 5.919 13.655 90.00 90.00 90.00
Space group Immm (No. 71)
Symmetry-distinct sites (fractional):
Ho 0.000 0.000 0.000 (multiplicity 2)
Al 0.000 0.000 0.500 (multiplicity 2)
Ga 0.000 0.500 0.189 (multiplicity 4)
Au 0.000 0.264 0.351 (multiplicity 8)
Au 0.000 0.500 0.000 (multiplicity 2)

(2)
## LiEr2Tm (PBE-GGA)

Data for crystalline LiEr2Tm at its relaxed geometry.

uncorrected energy: -3.70 eV per atom
crystal system: trigonal
ΔE to the lowest computed polymorph: 0.1045 eV/atom
volume: 121.1 Å³/f.u.

Lattice parameters (Å, degrees): 3.4141 3.4141 36.0034 90.00 90.00 120.00
Space group R-3m (No. 166, hexagonal axes)
Symmetry-distinct sites (fractional):
Li 0.0000 0.0000 0.0000 (multiplicity 3)
Er 0.0000 0.0000 0.0891 (multiplicity 6)
Tm 0.0000 0.0000 0.5000 (multiplicity 3)

(3)
## NbFe2CoB (PBE-GGA)

Data for crystalline NbFe2CoB at its relaxed geometry.

uncorrected energy: -8.32 eV per atom
crystal system: tetragonal
volume: 55.9 Å³/f.u.

Lattice parameters (Å, degrees): 3.844 3.844 3.780 90.00 90.00 90.00
Space group P4/mmm (No. 123)
Symmetry-distinct sites (fractional):
Nb 0.000 0.000 0.000 (multiplicity 1)
Fe 0.000 0.500 0.500 (multiplicity 2)
Co 0.500 0.500 0.000 (multiplicity 1)
B 0.500 0.500 0.500 (multiplicity 1)